(1)
Material: Be3Te5
Method: DFT, PBE
State: optimized geometry Values from VASP.

The structure in Quantum ESPRESSO input format:
```
&SYSTEM
  ibrav = 0, nat = 16, ntyp = 2
/
ATOMIC_SPECIES
Be 9.01 Be.upf
Te 127.60 Te.upf
ATOMIC_POSITIONS crystal
Be 0.000 0.250 0.204
Be 0.000 0.750 0.796
Be 0.485 0.250 0.951
Be 0.499 0.250 0.490
Be 0.501 0.750 0.510
Be 0.515 0.750 0.049
Te 0.148 0.250 0.934
Te 0.158 0.250 0.474
Te 0.340 0.750 0.784
Te 0.361 0.588 0.280
Te 0.361 0.912 0.280
Te 0.639 0.088 0.720
Te 0.639 0.412 0.720
Te 0.660 0.250 0.216
Te 0.842 0.750 0.526
Te 0.852 0.750 0.066
CELL_PARAMETERS angstrom
6.925 0.000 0.000
0.000 8.787 0.000
-0.036 0.000 7.739
```

Output
* uncorrected formation energy: 5.1 kJ per mole of atoms



(2)
Material: K2Al
Method: DFT, PBE
State: optimized geometry Values from VASP.

The structure in Quantum ESPRESSO input format:
```
&SYSTEM
  ibrav = 0, nat = 3, ntyp = 2
/
ATOMIC_SPECIES
K 39.10 K.upf
Al 26.98 Al.upf
ATOMIC_POSITIONS crystal
K 0.333 0.667 0.282
K 0.667 0.333 0.718
Al 0.000 0.000 0.000
CELL_PARAMETERS angstrom
4.094 0.000 0.000
-2.047 3.545 0.000
0.000 0.000 9.590
```

Output
* raw total energy: -1.53 eV per atom



(3)
Material: CdAg3Au
Method: DFT, PBE
State: optimized geometry Values from VASP.

The structure in Quantum ESPRESSO input format:
```
&SYSTEM
  ibrav = 0, nat = 10, ntyp = 3
/
ATOMIC_SPECIES
Cd 112.41 Cd.upf
Ag 107.87 Ag.upf
Au 196.97 Au.upf
ATOMIC_POSITIONS crystal
Cd 0.228 0.250 0.299
Cd 0.772 0.750 0.701
Ag 0.030 0.250 0.898
Ag 0.172 0.750 0.501
Ag 0.428 0.250 0.701
Ag 0.572 0.750 0.299
Ag 0.828 0.250 0.499
Ag 0.970 0.750 0.102
Au 0.369 0.750 0.901
Au 0.631 0.250 0.099
CELL_PARAMETERS angstrom
5.098 0.000 0.000
0.000 4.862 0.000
-2.503 0.000 7.427
```

Output
* raw total energy: -2.61 eV per atom



(4)
Material: CdSn3Ru
Method: DFT, PBE
State: optimized geometry Values from VASP.

The structure in Quantum ESPRESSO input format:
```
&SYSTEM
  ibrav = 0, nat = 5, ntyp = 3
/
ATOMIC_SPECIES
Cd 112.41 Cd.upf
Sn 118.71 Sn.upf
Ru 101.07 Ru.upf
ATOMIC_POSITIONS crystal
Cd 0.000 0.000 0.000
Sn 0.000 0.000 0.500
Sn 0.000 0.500 0.000
Sn 0.500 0.000 0.000
Ru 0.500 0.500 0.500
CELL_PARAMETERS angstrom
5.391 0.000 0.000
0.000 5.391 0.000
0.000 0.000 5.391
```

Output
* raw total energy: -3.12 eV per atom



(5)
Material: Ta2TcAgIr
Method: DFT, PBE
State: optimized geometry Values from VASP.

The structure in Quantum ESPRESSO input format:
```
&SYSTEM
  ibrav = 0, nat = 5, ntyp = 4
/
ATOMIC_SPECIES
Ta 180.95 Ta.upf
Tc 98.00 Tc.upf
Ag 107.87 Ag.upf
Ir 192.22 Ir.upf
ATOMIC_POSITIONS crystal
Ta 0.000 0.500 0.000
Ta 0.500 0.000 0.000
Tc 0.000 0.000 0.500
Ag 0.500 0.500 0.000
Ir 0.500 0.500 0.500
CELL_PARAMETERS angstrom
4.774 0.000 0.000
0.000 4.774 0.000
0.000 0.000 4.725
```

Output
* raw total energy: -6.88 eV per atom



(6)
Material: Tl3PdF6
Method: DFT, PBE
State: optimized geometry Values from VASP.

The structure in Quantum ESPRESSO input format:
```
&SYSTEM
  ibrav = 0, nat = 20, ntyp = 3
/
ATOMIC_SPECIES
Tl 204.38 Tl.upf
Pd 106.42 Pd.upf
F 19.00 F.upf
ATOMIC_POSITIONS crystal
Tl 0.163 0.163 0.546
Tl 0.163 0.546 0.163
Tl 0.454 0.837 0.837
Tl 0.546 0.163 0.163
Tl 0.837 0.454 0.837
Tl 0.837 0.837 0.454
Pd 0.000 0.000 0.000
Pd 0.500 0.500 0.500
F 0.086 0.822 0.822
F 0.178 0.178 0.914
F 0.178 0.914 0.178
F 0.214 0.492 0.492
F 0.492 0.214 0.492
F 0.492 0.492 0.214
F 0.508 0.508 0.786
F 0.508 0.786 0.508
F 0.786 0.508 0.508
F 0.822 0.086 0.822
F 0.822 0.822 0.086
F 0.914 0.178 0.178
CELL_PARAMETERS angstrom
5.338 3.082 4.328
-5.338 3.082 4.328
0.000 -6.164 4.328
```

Output
* uncorrected formation energy: -151.5 kJ per mole of atoms



(7)
Material: SrSiPb
Method: DFT, PBE
State: optimized geometry Values from VASP.

The structure in Quantum ESPRESSO input format:
```
&SYSTEM
  ibrav = 0, nat = 3, ntyp = 3
/
ATOMIC_SPECIES
Sr 87.62 Sr.upf
Si 28.09 Si.upf
Pb 207.20 Pb.upf
ATOMIC_POSITIONS crystal
Sr 0.000 0.000 0.000
Si 0.333 0.667 0.669
Pb 0.667 0.333 0.446
CELL_PARAMETERS angstrom
4.408 0.000 0.000
-2.204 3.817 0.000
0.000 0.000 5.405
```

Output
* uncorrected formation energy: -25.1 kJ per mole of atoms



(8)
Material: Mg2Zn5NiRh2
Method: DFT, PBE
State: optimized geometry Values from VASP.

The structure in Quantum ESPRESSO input format:
```
&SYSTEM
  ibrav = 0, nat = 20, ntyp = 4
/
ATOMIC_SPECIES
Mg 24.30 Mg.upf
Zn 65.41 Zn.upf
Ni 58.69 Ni.upf
Rh 102.91 Rh.upf
ATOMIC_POSITIONS crystal
Mg 0.170 0.330 0.000
Mg 0.330 0.830 0.000
Mg 0.670 0.170 0.000
Mg 0.830 0.670 0.000
Zn 0.000 0.500 0.500
Zn 0.068 0.810 0.500
Zn 0.190 0.068 0.500
Zn 0.310 0.568 0.500
Zn 0.432 0.310 0.500
Zn 0.500 0.000 0.500
Zn 0.568 0.690 0.500
Zn 0.690 0.432 0.500
Zn 0.810 0.932 0.500
Zn 0.932 0.190 0.500
Ni 0.000 0.000 0.000
Ni 0.500 0.500 0.000
Rh 0.127 0.627 0.000
Rh 0.373 0.127 0.000
Rh 0.627 0.873 0.000
Rh 0.873 0.373 0.000
CELL_PARAMETERS angstrom
9.109 0.000 0.000
0.000 9.109 0.000
0.000 0.000 3.783
```

Output
* raw total energy: -3.29 eV per atom



(9)
Material: LiAl2Rh
Method: DFT, PBE
State: optimized geometry Values from VASP.

The structure in Quantum ESPRESSO input format:
```
&SYSTEM
  ibrav = 0, nat = 16, ntyp = 3
/
ATOMIC_SPECIES
Li 6.94 Li.upf
Al 26.98 Al.upf
Rh 102.91 Rh.upf
ATOMIC_POSITIONS crystal
Li 0.000 0.000 0.000
Li 0.000 0.500 0.250
Li 0.500 0.000 0.750
Li 0.500 0.500 0.500
Al 0.240 0.250 0.625
Al 0.250 0.740 0.875
Al 0.250 0.760 0.375
Al 0.260 0.250 0.125
Al 0.740 0.750 0.125
Al 0.750 0.240 0.375
Al 0.750 0.260 0.875
Al 0.760 0.750 0.625
Rh 0.000 0.000 0.500
Rh 0.000 0.500 0.750
Rh 0.500 0.000 0.250
Rh 0.500 0.500 0.000
CELL_PARAMETERS angstrom
3.838 0.000 0.000
0.000 3.838 0.000
0.000 0.000 17.437
```

Output
* raw total energy: -4.25 eV per atom



(10)
Material: NaTb2Sc3Se6
Method: DFT, PBE
State: optimized geometry Values from VASP.

The structure in Quantum ESPRESSO input format:
```
&SYSTEM
  ibrav = 0, nat = 12, ntyp = 4
/
ATOMIC_SPECIES
Na 22.99 Na.upf
Tb 158.93 Tb.upf
Sc 44.96 Sc.upf
Se 78.96 Se.upf
ATOMIC_POSITIONS crystal
Na 0.000 0.000 0.000
Tb 0.332 0.332 0.662
Tb 0.668 0.668 0.338
Sc 0.000 0.000 0.500
Sc 0.335 0.335 0.178
Sc 0.665 0.665 0.822
Se 0.162 0.162 0.591
Se 0.171 0.171 0.072
Se 0.497 0.497 0.260
Se 0.503 0.503 0.740
Se 0.829 0.829 0.928
Se 0.838 0.838 0.409
CELL_PARAMETERS angstrom
8.724 -1.981 0.000
8.724 1.981 0.000
-1.945 0.000 7.811
```

Output
* uncorrected formation energy: -160.1 kJ per mole of atoms



(11)
Material: PrMoC
Method: DFT, PBE
State: optimized geometry Values from VASP.

The structure in Quantum ESPRESSO input format:
```
&SYSTEM
  ibrav = 0, nat = 12, ntyp = 3
/
ATOMIC_SPECIES
Pr 140.91 Pr.upf
Mo 95.94 Mo.upf
C 12.01 C.upf
ATOMIC_POSITIONS crystal
Pr 0.115 0.007 0.000
Pr 0.385 0.007 0.500
Pr 0.615 0.993 0.000
Pr 0.885 0.993 0.500
Mo 0.134 0.508 0.664
Mo 0.366 0.508 0.164
Mo 0.634 0.492 0.664
Mo 0.866 0.492 0.164
C 0.127 0.343 0.336
C 0.373 0.343 0.836
C 0.627 0.657 0.336
C 0.873 0.657 0.836
CELL_PARAMETERS angstrom
6.600 0.000 0.000
0.000 5.492 0.000
0.000 0.000 5.766
```

Output
* raw total energy: -8.14 eV per atom



(12)
Material: Y2GaCo2
Method: DFT, PBE
State: optimized geometry Values from VASP.

The structure in Quantum ESPRESSO input format:
```
&SYSTEM
  ibrav = 0, nat = 10, ntyp = 3
/
ATOMIC_SPECIES
Y 88.91 Y.upf
Ga 69.72 Ga.upf
Co 58.93 Co.upf
ATOMIC_POSITIONS crystal
Y 0.000 0.000 0.206
Y 0.000 0.000 0.794
Y 0.500 0.500 0.294
Y 0.500 0.500 0.706
Ga 0.000 0.500 0.000
Ga 0.500 0.000 0.500
Co 0.000 0.284 0.500
Co 0.000 0.716 0.500
Co 0.500 0.216 0.000
Co 0.500 0.784 0.000
CELL_PARAMETERS angstrom
4.060 0.000 0.000
0.000 5.434 0.000
0.000 0.000 8.354
```

Output
* raw total energy: -6.44 eV per atom



Repeat the sixth record exactly.
Material: Tl3PdF6
Method: DFT, PBE
State: optimized geometry Values from VASP.

The structure in Quantum ESPRESSO input format:
```
&SYSTEM
  ibrav = 0, nat = 20, ntyp = 3
/
ATOMIC_SPECIES
Tl 204.38 Tl.upf
Pd 106.42 Pd.upf
F 19.00 F.upf
ATOMIC_POSITIONS crystal
Tl 0.163 0.163 0.546
Tl 0.163 0.546 0.163
Tl 0.454 0.837 0.837
Tl 0.546 0.163 0.163
Tl 0.837 0.454 0.837
Tl 0.837 0.837 0.454
Pd 0.000 0.000 0.000
Pd 0.500 0.500 0.500
F 0.086 0.822 0.822
F 0.178 0.178 0.914
F 0.178 0.914 0.178
F 0.214 0.492 0.492
F 0.492 0.214 0.492
F 0.492 0.492 0.214
F 0.508 0.508 0.786
F 0.508 0.786 0.508
F 0.786 0.508 0.508
F 0.822 0.086 0.822
F 0.822 0.822 0.086
F 0.914 0.178 0.178
CELL_PARAMETERS angstrom
5.338 3.082 4.328
-5.338 3.082 4.328
0.000 -6.164 4.328
```

Output
* uncorrected formation energy: -151.5 kJ per mole of atoms



Please write out number 6 again, unchanged.
Material: Tl3PdF6
Method: DFT, PBE
State: optimized geometry Values from VASP.

The structure in Quantum ESPRESSO input format:
```
&SYSTEM
  ibrav = 0, nat = 20, ntyp = 3
/
ATOMIC_SPECIES
Tl 204.38 Tl.upf
Pd 106.42 Pd.upf
F 19.00 F.upf
ATOMIC_POSITIONS crystal
Tl 0.163 0.163 0.546
Tl 0.163 0.546 0.163
Tl 0.454 0.837 0.837
Tl 0.546 0.163 0.163
Tl 0.837 0.454 0.837
Tl 0.837 0.837 0.454
Pd 0.000 0.000 0.000
Pd 0.500 0.500 0.500
F 0.086 0.822 0.822
F 0.178 0.178 0.914
F 0.178 0.914 0.178
F 0.214 0.492 0.492
F 0.492 0.214 0.492
F 0.492 0.492 0.214
F 0.508 0.508 0.786
F 0.508 0.786 0.508
F 0.786 0.508 0.508
F 0.822 0.086 0.822
F 0.822 0.822 0.086
F 0.914 0.178 0.178
CELL_PARAMETERS angstrom
5.338 3.082 4.328
-5.338 3.082 4.328
0.000 -6.164 4.328
```

Output
* uncorrected formation energy: -151.5 kJ per mole of atoms